Entry 1:
Density functional theory data (GGA-PBEsol) for an optimized crystal structure of Rb2YTlCl6.

Calculated values
* Fermi-level density of states: 0.0 states/eV/f.u.
* electronic total energy: -4.2205 eV/atom
* raw formation energy: -1865 meV per atom

Lattice parameters (Å, degrees): 7.8974 7.8974 7.8974 60.00 60.00 60.00
Atoms (fractional coordinates):
Cl 0.7674 0.7674 0.2326
Cl 0.2326 0.7674 0.7674
Cl 0.2326 0.2326 0.7674
Cl 0.7674 0.2326 0.7674
Cl 0.7674 0.2326 0.2326
Cl 0.2326 0.7674 0.2326
Rb 0.2500 0.2500 0.2500
Rb 0.7500 0.7500 0.7500
Y 0.0000 0.0000 0.0000
Tl 0.5000 0.5000 0.5000


Entry 2:
Density functional theory data (GGA-PBEsol) for an optimized crystal structure of LiHf2TlTc.

Calculated values
* energy of formation: 2.663 eV/f.u.
* Fermi-level density of states: 4.8 states/eV/f.u.
* electronic total energy: -6.8413 eV/atom

Lattice parameters (Å, degrees): 4.9032 4.9032 5.2954 90.00 90.00 90.00
Atoms (fractional coordinates):
Hf 0.5000 0.0000 0.0000
Hf 0.0000 0.5000 0.0000
Tl 0.0000 0.0000 0.5000
Tc 0.0000 0.0000 0.0000
Li 0.5000 0.5000 0.5000


Entry 3:
Density functional theory data (GGA-PBEsol) for an optimized crystal structure of SrTeSe2.

Calculated values
* Fermi-level density of states: 1.6 states/eV/f.u.
* electronic total energy: -4.1129 eV/atom
* raw formation energy: -846 meV per atom

Lattice parameters (Å, degrees): 3.7828 5.1011 5.1011 90.00 90.00 90.00
Atoms (fractional coordinates):
Se 0.0000 0.0000 0.5000
Se 0.0000 0.5000 0.0000
Te 0.5000 0.0000 0.0000
Sr 0.5000 0.5000 0.5000


Entry 4:
Density functional theory data (GGA-PBEsol) for an optimized crystal structure of Rh2NF.

Calculated values
* Fermi-level density of states: 4.0 states/eV/f.u.
* electronic total energy: -6.1232 eV/atom
* raw formation energy: 560 meV per atom

Lattice parameters (Å, degrees): 3.8650 3.8650 3.8650 60.00 60.00 60.00
Atoms (fractional coordinates):
F 0.5000 0.5000 0.5000
N 0.0000 0.0000 0.0000
Rh 0.2500 0.2500 0.2500
Rh 0.7500 0.7500 0.7500


Entry 5:
Density functional theory data (GGA-PBEsol) for an optimized crystal structure of AlInS2.

Calculated values
* Fermi-level density of states: 0.6 states/eV/f.u.
* electronic total energy: -4.6972 eV/atom
* raw formation energy: -737 meV per atom

Lattice parameters (Å, degrees): 3.4259 3.4259 8.1885 77.93 77.93 60.00
Atoms (fractional coordinates):
Al 0.5000 0.5000 0.5000
S 0.8884 0.8884 0.3349
S 0.1116 0.1116 0.6651
In 0.0000 0.0000 0.0000


Entry 6:
Density functional theory data (GGA-PBEsol) for an optimized crystal structure of Ta2InCl.

Calculated values
* polymorph energy (0 for the lowest one): 2.60 eV per formula unit
* Fermi-level density of states: 3.0 states/eV/f.u.
* electronic total energy: -6.9588 eV/atom
* raw formation energy: 564 meV per atom

Lattice parameters (Å, degrees): 3.0104 4.8368 4.8368 90.00 90.00 90.00
Atoms (fractional coordinates):
In 0.5000 0.0000 0.0000
Cl 0.5000 0.5000 0.5000
Ta 0.0000 0.0000 0.5000
Ta 0.0000 0.5000 0.0000


Entry 7:
Density functional theory data (GGA-PBEsol) for an optimized crystal structure of SiTeW.

Calculated values
* polymorph energy (0 for the lowest one): 3.20 eV per formula unit
* Fermi-level density of states: 2.6 states/eV/f.u.
* electronic total energy: -6.3479 eV/atom
* raw formation energy: 1346 meV per atom

Lattice parameters (Å, degrees): 4.4406 4.4406 4.4406 60.00 60.00 60.00
Atoms (fractional coordinates):
Si 0.5000 0.5000 0.5000
W 0.0000 0.0000 0.0000
Te 0.2500 0.2500 0.2500


Entry 8:
Density functional theory data (GGA-PBEsol) for an optimized crystal structure of HfBe2Os2.

Calculated values
* energy of formation: -1.870 eV/f.u.
* Fermi-level density of states: 1.7 states/eV/f.u.
* electronic total energy: -8.9609 eV/atom

Lattice parameters (Å, degrees): 3.0127 6.4273 6.4273 90.00 90.00 90.00
Atoms (fractional coordinates):
Os 0.5000 0.8345 0.3345
Os 0.5000 0.3345 0.1655
Os 0.5000 0.6655 0.8345
Os 0.5000 0.1655 0.6655
Hf 0.0000 0.0000 0.0000
Hf 0.0000 0.5000 0.5000
Be 0.0000 0.3816 0.8816
Be 0.0000 0.6184 0.1184
Be 0.0000 0.1184 0.3816
Be 0.0000 0.8816 0.6184